Nd2Ni3Sb4Rh after structural relaxation, computed with PBE.

Unit cell a=4.524 b=4.524 c=10.054 alpha=90.00 beta=90.00 gamma=90.00
Element x y z (fractional)
Sb (0.500, 0.500, 0.000)
Sb (0.000, 0.500, 0.368)
Sb (0.000, 0.000, 0.000)
Sb (0.500, 0.000, 0.632)
Ni (0.000, 0.500, 0.120)
Ni (0.000, 0.000, 0.500)
Ni (0.500, 0.000, 0.880)
Rh (0.500, 0.500, 0.500)
Nd (0.500, 0.000, 0.256)
Nd (0.000, 0.500, 0.744)

Calculated values
As for the raw formation energy: -0.67 eV per atom. Its space group is P-4m2, No. 115.

***

NdScNiRh after structural relaxation, computed with PBE.

Unit cell a=4.781 b=4.781 c=4.781 alpha=60.00 beta=60.00 gamma=60.00
Element x y z (fractional)
Nd (0.000, 0.000, 0.000)
Sc (0.500, 0.500, 0.500)
Ni (0.250, 0.250, 0.250)
Rh (0.750, 0.750, 0.750)

Calculated values
For the energy of formation, the calculation gives -2.049 eV/f.u. Its space group is F-43m, No. 216.

***

Nd2Si2NiRh5 after structural relaxation, computed with PBE.

Unit cell a=3.471 b=9.853 c=9.853 alpha=90.00 beta=90.00 gamma=90.00
Element x y z (fractional)
Rh (0.500, 0.566, 0.712)
Rh (0.500, 0.712, 0.434)
Rh (0.500, 0.288, 0.566)
Rh (0.500, 0.066, 0.788)
Rh (0.500, 0.212, 0.066)
Rh (0.500, 0.788, 0.934)
Rh (0.500, 0.500, 0.000)
Rh (0.500, 0.934, 0.212)
Rh (0.500, 0.434, 0.288)
Rh (0.500, 0.000, 0.500)
Si (0.000, 0.125, 0.625)
Si (0.000, 0.375, 0.125)
Si (0.000, 0.875, 0.375)
Si (0.000, 0.625, 0.875)
Nd (0.000, 0.324, 0.824)
Nd (0.000, 0.676, 0.176)
Nd (0.000, 0.824, 0.676)
Nd (0.000, 0.176, 0.324)
Ni (0.000, 0.000, 0.000)
Ni (0.000, 0.500, 0.500)

Calculated values
As for the raw formation energy: -0.66 eV per atom. Its space group is P4/mbm, No. 127.

***

NdSi2NiRh after structural relaxation, computed with PBE.

Unit cell a=4.061 b=4.061 c=5.785 alpha=110.55 beta=110.55 gamma=90.00
Element x y z (fractional)
Si (0.624, 0.624, 0.249)
Si (0.376, 0.376, 0.751)
Nd (0.000, 0.000, 0.000)
Rh (0.750, 0.250, 0.500)
Ni (0.250, 0.750, 0.500)

Calculated values
As for the raw formation energy: -0.91 eV per atom. Its space group is I-4m2, No. 119.

***

Nd2Si4Ni3Rh after structural relaxation, computed with PBE.

Unit cell a=4.048 b=4.048 c=9.783 alpha=90.00 beta=90.00 gamma=90.00
Element x y z (fractional)
Nd (0.500, 0.000, 0.242)
Nd (0.000, 0.500, 0.758)
Ni (0.000, 0.500, 0.121)
Ni (0.000, 0.000, 0.500)
Ni (0.500, 0.000, 0.879)
Si (0.000, 0.000, 0.000)
Si (0.500, 0.000, 0.634)
Si (0.000, 0.500, 0.366)
Si (0.500, 0.500, 0.000)
Rh (0.500, 0.500, 0.500)

Calculated values
As for the raw formation energy: -0.87 eV per atom. Its space group is P-4m2, No. 115.

***

Nd2Si3Ni4Rh after structural relaxation, computed with PBE.

Unit cell a=4.021 b=4.021 c=9.889 alpha=90.00 beta=90.00 gamma=90.00
Element x y z (fractional)
Si (0.000, 0.500, 0.120)
Si (0.500, 0.000, 0.880)
Si (0.000, 0.000, 0.500)
Ni (0.500, 0.500, 0.000)
Ni (0.500, 0.000, 0.643)
Ni (0.000, 0.000, 0.000)
Ni (0.000, 0.500, 0.357)
Rh (0.500, 0.500, 0.500)
Nd (0.500, 0.000, 0.249)
Nd (0.000, 0.500, 0.751)

Calculated values
As for the raw formation energy: -0.68 eV per atom. Its space group is P-4m2, No. 115.

***

NdSiNiRh after structural relaxation, computed with PBE.

Unit cell a=4.187 b=3.662 c=5.043 alpha=111.29 beta=90.00 gamma=90.00
Element x y z (fractional)
Si (0.000, 0.586, 0.171)
Rh (0.000, 0.919, 0.838)
Ni (0.500, 0.498, 0.995)
Nd (0.500, 0.225, 0.451)

Calculated values
As for the raw formation energy: -0.50 eV per atom. Its space group is Amm2, No. 38.

***

NdSmNiRh after structural relaxation, computed with PBE.

Unit cell a=3.941 b=4.163 c=5.787 alpha=90.00 beta=109.91 gamma=90.00
Element x y z (fractional)
Sm (0.861, 0.500, 0.723)
Nd (0.141, 0.000, 0.282)
Ni (0.577, 0.500, 0.154)
Rh (0.421, 0.000, 0.842)

Calculated values
For the energy of formation, the calculation gives -2.158 eV/f.u. Its space group is Amm2, No. 38.